Entry 1:
The following is a PBE calculation of an optimized crystal structure of Li2Mg3Pd, from Alexandria via LeMat-Bulk.

Lattice parameters (Å, degrees): 5.366 5.366 9.363 95.27 95.27 119.57
Positions (direct):
Li: 0.000 0.000 0.000
Li: 0.163 0.837 0.500
Li: 0.500 0.500 0.500
Li: 0.837 0.163 0.500
Mg: 0.075 0.420 0.230
Mg: 0.272 0.272 0.774
Mg: 0.420 0.075 0.230
Mg: 0.580 0.925 0.770
Mg: 0.728 0.728 0.226
Mg: 0.925 0.580 0.770
Pd: 0.331 0.669 0.000
Pd: 0.669 0.331 0.000

Properties
The calculation puts the magnetic moment at 0.0 μB/f.u. As for the density of states at the Fermi level: 4.61 states/eV per cell. For the volume, the calculation gives 231 Å³/cell. For the uncorrected energy, the calculation gives -30.1 eV for the cell shown.



Entry 2:
The following is a PBE calculation of an optimized crystal structure of BeCu2As, from Alexandria via LeMat-Bulk.

Lattice parameters (Å, degrees): 2.821 3.373 5.348 90.00 90.00 90.00
Positions (direct):
Be: 0.000 0.000 0.000
Cu: 0.500 0.500 0.223
Cu: 0.500 0.500 0.777
As: 0.000 0.000 0.500

Properties
The calculation puts the magnetic moment at 0.0 μB/f.u. As for the density of states at the Fermi level: 1.32 states/eV per cell. For the volume, the calculation gives 51 Å³/cell. For the uncorrected energy, the calculation gives -16.0 eV for the cell shown.



Entry 3:
The following is a PBE calculation of an optimized crystal structure of Pm6Dy12Ho, from Alexandria via LeMat-Bulk.

Lattice parameters (Å, degrees): 8.672 8.672 8.672 79.60 79.60 79.60
Positions (direct):
Pm: 0.268 0.268 0.662
Pm: 0.268 0.662 0.268
Pm: 0.338 0.732 0.732
Pm: 0.662 0.268 0.268
Pm: 0.732 0.338 0.732
Pm: 0.732 0.732 0.338
Dy: 0.013 0.364 0.364
Dy: 0.015 0.015 0.696
Dy: 0.015 0.696 0.015
Dy: 0.304 0.985 0.985
Dy: 0.364 0.013 0.364
Dy: 0.364 0.364 0.013
Dy: 0.636 0.636 0.987
Dy: 0.636 0.987 0.636
Dy: 0.696 0.015 0.015
Dy: 0.985 0.304 0.985
Dy: 0.985 0.985 0.304
Dy: 0.987 0.636 0.636
Ho: 0.500 0.500 0.500

Properties
The calculation puts the magnetic moment at 0.0 μB/f.u. As for the density of states at the Fermi level: 29.46 states/eV per cell. For the volume, the calculation gives 623 Å³/cell. For the uncorrected energy, the calculation gives -86.0 eV for the cell shown.



Entry 4:
The following is a PBE calculation of an optimized crystal structure of Cr2ReSnPb, from Alexandria via LeMat-Bulk.

Lattice parameters (Å, degrees): 5.100 5.100 5.133 90.00 90.00 90.00
Positions (direct):
Cr: 0.000 0.500 0.000
Cr: 0.500 0.000 0.000
Re: 0.000 0.000 0.500
Sn: 0.500 0.500 0.500
Pb: 0.000 0.000 0.000

Properties
The calculation puts the magnetic moment at 6.5 μB/f.u. As for the density of states at the Fermi level: 4.27 states/eV per cell. For the volume, the calculation gives 133 Å³/cell. For the uncorrected energy, the calculation gives -30.1 eV for the cell shown.



Entry 5:
The following is a PBE calculation of an optimized crystal structure of Zr2Rh5, from Alexandria via LeMat-Bulk.

Lattice parameters (Å, degrees): 7.506 7.506 7.506 126.59 71.56 136.08
Positions (direct):
Zr: 0.103 0.176 0.278
Zr: 0.397 0.676 0.073
Zr: 0.603 0.324 0.927
Zr: 0.897 0.824 0.722
Rh: 0.022 0.750 0.272
Rh: 0.121 0.777 0.898
Rh: 0.250 0.750 0.500
Rh: 0.379 0.277 0.656
Rh: 0.478 0.750 0.728
Rh: 0.522 0.250 0.272
Rh: 0.621 0.723 0.344
Rh: 0.750 0.250 0.500
Rh: 0.879 0.223 0.102
Rh: 0.978 0.250 0.728

Properties
The calculation puts the magnetic moment at 0.0 μB/f.u. As for the density of states at the Fermi level: 12.55 states/eV per cell. For the volume, the calculation gives 231 Å³/cell. For the uncorrected energy, the calculation gives -115.7 eV for the cell shown.



Entry 6:
The following is a PBE calculation of an optimized crystal structure of Ca2YOs, from Alexandria via LeMat-Bulk.

Lattice parameters (Å, degrees): 6.567 6.567 6.567 147.78 129.54 61.14
Positions (direct):
Ca: 0.000 0.000 0.000
Ca: 0.688 0.188 0.500
Y: 0.373 0.373 0.000
Os: 0.200 0.700 0.500

Properties
The calculation puts the magnetic moment at 0.0 μB/f.u. As for the density of states at the Fermi level: 3.03 states/eV per cell. For the volume, the calculation gives 115 Å³/cell. For the uncorrected energy, the calculation gives -20.9 eV for the cell shown.



Entry 7:
The following is a PBE calculation of an optimized crystal structure of Si2NiAg, from Alexandria via LeMat-Bulk.

Lattice parameters (Å, degrees): 3.831 3.831 3.863 90.00 90.00 90.00
Positions (direct):
Si: 0.000 0.500 0.000
Si: 0.500 0.000 0.000
Ni: 0.000 0.000 0.500
Ag: 0.500 0.500 0.500

Properties
The calculation puts the magnetic moment at 0.0 μB/f.u. As for the density of states at the Fermi level: 2.30 states/eV per cell. The value obtained for the energy relative to the elements, uncorrected is 0.247 eV per atom. For the volume, the calculation gives 57 Å³/cell.



Entry 8:
The following is a PBE calculation of an optimized crystal structure of BaGeH2Cl, from Alexandria via LeMat-Bulk.

Lattice parameters (Å, degrees): 4.611 4.611 5.996 90.00 90.00 90.00
Positions (direct):
Ba: 0.000 0.000 0.000
Ge: 0.500 0.500 0.000
H: 0.000 0.500 0.500
H: 0.500 0.000 0.500
Cl: 0.000 0.000 0.500

Properties
The calculation puts the magnetic moment at 1.7 μB/f.u. As for the density of states at the Fermi level: 2.89 states/eV per cell. For the volume, the calculation gives 127 Å³/cell. For the uncorrected energy, the calculation gives -12.2 eV for the cell shown.



Entry 9:
The following is a PBE calculation of an optimized crystal structure of BiSbP3, from Alexandria via LeMat-Bulk.

Lattice parameters (Å, degrees): 5.030 5.030 5.030 90.00 90.00 90.00
Positions (direct):
Bi: 0.000 0.000 0.000
Sb: 0.500 0.500 0.500
P: 0.000 0.500 0.500
P: 0.500 0.000 0.500
P: 0.500 0.500 0.000

Properties
The calculation puts the magnetic moment at 0.0 μB/f.u. As for the density of states at the Fermi level: 4.05 states/eV per cell. The value obtained for the energy relative to the elements, uncorrected is 0.978 eV per atom. For the volume, the calculation gives 127 Å³/cell.



Entry 10:
The following is a PBE calculation of an optimized crystal structure of CsNpPO6, from Alexandria via LeMat-Bulk.

Lattice parameters (Å, degrees): 5.184 5.184 6.771 90.00 90.00 120.00
Positions (direct):
Cs: 0.000 0.000 0.000
Np: 0.667 0.333 0.500
P: 0.333 0.667 0.500
O: 0.051 0.401 0.352
O: 0.051 0.650 0.648
O: 0.350 0.401 0.648
O: 0.350 0.949 0.352
O: 0.599 0.650 0.352
O: 0.599 0.949 0.648

Properties
The calculation puts the magnetic moment at 1.0 μB/f.u. As for the density of states at the Fermi level: 1.55 states/eV per cell. The value obtained for the energy relative to the elements, uncorrected is -2.180 eV per atom. For the volume, the calculation gives 158 Å³/cell.



Entry 11:
The following is a PBE calculation of an optimized crystal structure of Pm2PrHoBi5, from Alexandria via LeMat-Bulk.

Lattice parameters (Å, degrees): 5.599 5.599 11.947 90.00 90.00 90.00
Positions (direct):
Pm: 0.000 0.000 0.226
Pm: 0.000 0.000 0.774
Pr: 0.500 0.500 0.000
Ho: 0.500 0.500 0.500
Bi: 0.000 0.000 0.500
Bi: 0.000 0.500 0.000
Bi: 0.500 0.000 0.000
Bi: 0.500 0.500 0.258
Bi: 0.500 0.500 0.742

Properties
The calculation puts the magnetic moment at 0.0 μB/f.u. As for the density of states at the Fermi level: 6.13 states/eV per cell. For the volume, the calculation gives 375 Å³/cell. For the uncorrected energy, the calculation gives -37.9 eV for the cell shown.



Entry 12:
The following is a PBE calculation of an optimized crystal structure of NaTaP3, from Alexandria via LeMat-Bulk.

Lattice parameters (Å, degrees): 4.594 4.594 4.594 90.00 90.00 90.00
Positions (direct):
Na: 0.000 0.000 0.000
Ta: 0.500 0.500 0.500
P: 0.000 0.000 0.500
P: 0.000 0.500 0.000
P: 0.500 0.000 0.000

Properties
The calculation puts the magnetic moment at 0.0 μB/f.u. As for the density of states at the Fermi level: 6.70 states/eV per cell. For the volume, the calculation gives 97 Å³/cell. For the uncorrected energy, the calculation gives -20.7 eV for the cell shown.



magnetic moment of number 6 (Ca2YOs)? 0.0 μB/f.u.